<1>
A plane-wave DFT calculation with PBE was carried out for Y3TiRu after structural relaxation.

Output
Spin magnetization   2.60 μB/f.u.
Crystal system   cubic

Lattice parameters (Å, degrees): 5.3111 5.3111 5.3111 90.00 90.00 90.00
Last column: nearest neighbours and their distance in Å.
Fractional positions:
Y: 0.0000 0.0000 0.5000  2 Ru 2.66
Y: 0.0000 0.5000 0.0000  2 Ru 2.66
Y: 0.5000 0.0000 0.0000  2 Ru 2.66
Ti: 0.5000 0.5000 0.5000  12 Y 3.76
Ru: 0.0000 0.0000 0.0000  6 Y 2.66

<2>
A plane-wave DFT calculation with PBE was carried out for Y3TiRu after structural relaxation.

Output
Spin magnetization   1.84 μB/f.u.
Crystal system   cubic

Lattice parameters (Å, degrees): 5.1638 5.1638 5.1638 90.00 90.00 90.00
Last column: nearest neighbours and their distance in Å.
Fractional positions:
Y: 0.0000 0.0000 0.5000  2 Ti 2.58
Y: 0.0000 0.5000 0.0000  2 Ti 2.58
Y: 0.5000 0.0000 0.0000  2 Ti 2.58
Ti: 0.0000 0.0000 0.0000  6 Y 2.58
Ru: 0.5000 0.5000 0.5000  12 Y 3.65

How far above the most stable structure does each one sit? In eV/atom: <1> 0.000; <2> 0.803.